(1)
Material: TaCu2Ru
Method: DFT, PBE
State: relaxed

Unit cell a=6.9812 b=6.9812 c=4.9775 alpha=90.00 beta=90.00 gamma=90.00
Last column: nearest neighbours and their distance in Å.
Space group I-42d (No. 122)
Symmetry-distinct sites (fractional):
Ta 0.0000 0.0000 0.0000 [4 per cell]  2 Ru 2.49, 4 Cu 2.58
Cu 0.2419 0.7500 0.6250 [8 per cell]  2 Cu 2.49, 2 Ru 2.51, 2 Ta 2.58
Ru 0.0000 0.0000 0.5000 [4 per cell]  2 Ta 2.49, 4 Cu 2.51

## Properties
For the energy above the most stable polymorph in this dataset, the calculation gives 646 meV per atom.

(2)
Material: Ta3CuRu
Method: DFT, PBE
State: relaxed

Unit cell a=4.7704 b=4.7704 c=4.7704 alpha=90.00 beta=90.00 gamma=90.00
Last column: nearest neighbours and their distance in Å.
Space group Pm-3m (No. 221)
Symmetry-distinct sites (fractional):
Ta 0.0000 0.0000 0.5000 [3 per cell]  2 Ru 2.39
Cu 0.5000 0.5000 0.5000 [1 per cell]  12 Ta 3.37
Ru 0.0000 0.0000 0.0000 [1 per cell]  6 Ta 2.39

## Properties
For the energy above the most stable polymorph in this dataset, the calculation gives 0 meV per atom.

(3)
Material: TaCuRu4
Method: DFT, PBE
State: relaxed

Unit cell a=7.1592 b=7.1592 c=7.1592 alpha=90.00 beta=90.00 gamma=90.00
Last column: nearest neighbours and their distance in Å.
Space group F-43m (No. 216)
Symmetry-distinct sites (fractional):
Ta 0.0000 0.0000 0.0000 [4 per cell]  12 Ru 2.97, 4 Cu 3.10
Cu 0.2500 0.2500 0.7500 [4 per cell]  12 Ru 2.97, 4 Ta 3.10
Ru 0.1246 0.1246 0.3754 [16 per cell]  6 Ru 2.52-2.54

(4)
Material: TaCu2Ru
Method: DFT, PBE
State: relaxed

Unit cell a=2.7495 b=4.1090 c=5.1062 alpha=90.00 beta=99.29 gamma=90.00
Last column: nearest neighbours and their distance in Å.
Space group Pm (No. 6)
Symmetry-distinct sites (fractional):
Ta 0.0000 0.0000 0.0000 [1 per cell]  2 Ru 2.61, 7 Cu 2.62-2.84, 2 Ta 2.75
Cu 0.5679 0.5000 0.2478 [1 per cell]  2 Cu 2.39, 1 Ru 2.67
Cu 0.6576 0.0000 0.4898 [1 per cell]  2 Cu 2.39, 1 Ta 2.62
Ru 0.2264 0.5000 0.7274 [1 per cell]  2 Ta 2.61, 7 Cu 2.67-2.80, 2 Ru 2.75

## Properties
For the energy above the most stable polymorph in this dataset, the calculation gives 157 meV per atom.

(5)
Material: TaCu2Ru2
Method: DFT, PBE
State: relaxed

Unit cell a=6.7180 b=6.7180 c=3.1180 alpha=90.00 beta=90.00 gamma=90.00
Last column: nearest neighbours and their distance in Å.
Space group P4/mbm (No. 127)
Symmetry-distinct sites (fractional):
Ta 0.0000 0.0000 0.0000 [2 per cell]  4 Cu 2.65, 8 Ru 2.94
Cu 0.1257 0.3743 0.0000 [4 per cell]  1 Cu 2.39, 6 Ru 2.47-2.56, 2 Ta 2.65
Ru 0.1723 0.6723 0.5000 [4 per cell]  6 Cu 2.47-2.56

(6)
Material: TaCuRu
Method: DFT, PBE
State: relaxed

Unit cell a=5.9685 b=5.9685 c=5.9685 alpha=90.00 beta=90.00 gamma=90.00
Last column: nearest neighbours and their distance in Å.
Space group F-43m (No. 216)
Symmetry-distinct sites (fractional):
Ta 0.0000 0.0000 0.0000 [4 per cell]  4 Ru 2.58, 4 Cu 2.58
Cu 0.2500 0.2500 0.7500 [4 per cell]  4 Ta 2.58
Ru 0.2500 0.2500 0.2500 [4 per cell]  4 Ta 2.58

## Properties
For the energy above the most stable polymorph in this dataset, the calculation gives 637 meV per atom.

Number 1: VASP energy -108.54 eV/cell, mass density 11.2 g/cm³, spin magnetization 0.00 μB per formula unit. Number 2: VASP energy -42.58 eV/cell, mass density 10.8 g/cm³, spin magnetization 0.00 μB per formula unit. Number 3: VASP energy -206.14 eV/cell, mass density 11.7 g/cm³, spin magnetization 0.00 μB per formula unit. Number 4: VASP energy -29.09 eV/cell, mass density 11.9 g/cm³, spin magnetization 0.00 μB per formula unit. Number 5: VASP energy -75.25 eV/cell, mass density 12.0 g/cm³, spin magnetization 0.00 μB per formula unit. Number 6: VASP energy -95.27 eV/cell, mass density 10.8 g/cm³, spin magnetization 0.00 μB per formula unit.